Crystalline Y2MgSc at its relaxed geometry. Source: Alexandria, functional GGA-PBEsol.

Computed properties:
**Energy of formation from the pure elements**: 0.03 eV per atom
**E**: -5.4570 eV/atom
**SG**: Immm

```
Y2MgSc
1.0
-1.910 2.588 5.440
1.910 -2.588 5.440
1.910 2.588 -5.440
Y Mg Sc
2 1 1
direct
0.230 0.230 0.000
0.770 0.770 0.000
0.000 0.500 0.500
0.500 0.000 0.500
```

---

Crystalline Y2MgSc at its relaxed geometry. Source: Alexandria, functional GGA-PBEsol.

Computed properties:
**Energy of formation from the pure elements**: -0.02 eV per atom
**E**: -5.5076 eV/atom
**SG**: P4/mmm

```
Y2MgSc
1.0
3.527 0.000 0.000
0.000 3.527 0.000
0.000 0.000 8.713
Y Mg Sc
2 1 1
direct
0.000 0.000 0.249
0.000 0.000 0.751
0.500 0.500 0.500
0.500 0.500 0.000
```

---

Crystalline YMgSc2 at its relaxed geometry. Source: Alexandria, functional GGA-PBEsol.

Computed properties:
**Energy of formation from the pure elements**: 0.03 eV per atom
**E**: -5.4099 eV/atom
**SG**: Imm2

```
YMgSc2
1.0
-1.838 2.545 5.336
1.838 -2.545 5.336
1.838 2.545 -5.336
Y Mg Sc
1 1 2
direct
0.000 0.000 0.000
0.240 0.740 0.500
0.464 0.464 0.000
0.725 0.225 0.500
```

---

Crystalline YMgSc at its relaxed geometry. Source: Alexandria, functional GGA-PBEsol.

Computed properties:
**Energy above the most stable polymorph in this dataset**: 0 meV per atom
**Energy of formation from the pure elements**: -0.02 eV per atom
**E**: -5.0672 eV/atom
**SG**: I4mm

```
YMgSc
1.0
-1.734 1.734 6.385
1.734 -1.734 6.385
1.734 1.734 -6.385
Y Mg Sc
1 1 1
direct
0.000 0.000 0.000
0.674 0.674 0.000
0.326 0.326 0.000
```

---

Crystalline YMgSc2 at its relaxed geometry. Source: Alexandria, functional GGA-PBEsol.

Computed properties:
**Energy of formation from the pure elements**: 0.00 eV per atom
**E**: -5.4327 eV/atom
**SG**: Immm

```
YMgSc2
1.0
-1.793 2.601 5.363
1.793 -2.601 5.363
1.793 2.601 -5.363
Y Mg Sc
1 1 2
direct
0.000 0.000 0.000
0.500 0.500 0.000
0.270 0.770 0.500
0.730 0.230 0.500
```

---

Crystalline Y2MgSc at its relaxed geometry. Source: Alexandria, functional GGA-PBEsol.

Computed properties:
**Energy of formation from the pure elements**: 0.04 eV per atom
**E**: -5.4508 eV/atom
**SG**: R-3m

```
Y2MgSc
1.0
1.689 0.975 11.057
-1.689 0.975 11.057
0.000 -1.951 11.057
Y Mg Sc
2 1 1
direct
0.248 0.248 0.248
0.752 0.752 0.752
0.000 0.000 0.000
0.500 0.500 0.500
```